3
Lattice="0.000 3.978 3.978 3.978 0.000 3.978 3.978 3.978 0.000" Properties=species:S:1:pos:R:3 comment="BaNaNp (PBE-GGA, relaxed)" magnetic_moment_mub_per_cell=5.86 final_energy_ry_per_atom=-0.2902 volume_a3_per_atom=41.955 e_above_lowest_polymorph_mev_per_atom=179 pbc="T T T"
Ba 0.000 0.000 0.000
Na 5.966 5.966 5.966
Np 1.989 1.989 1.989

=====

30
Lattice="5.891 0.000 0.000 -2.946 5.102 0.000 0.000 0.000 14.299" Properties=species:S:1:pos:R:3 comment="Ba3NaOs2O9 (PBE-GGA, relaxed)" magnetic_moment_mub_per_cell=6.01 final_energy_ry_per_atom=-0.5036 volume_a3_per_atom=14.325 pbc="T T T"
Ba 0.000 0.000 3.575
Ba 0.000 0.000 10.724
Ba 0.000 3.401 1.261
Ba 0.000 3.401 5.889
Ba 2.946 1.701 8.410
Ba 2.946 1.701 13.038
Na 0.000 0.000 0.000
Na 0.000 0.000 7.149
Os 0.000 3.401 9.464
Os 0.000 3.401 11.984
Os 2.946 1.701 2.315
Os 2.946 1.701 4.834
O -1.418 2.582 10.724
O 0.000 1.821 8.439
O 0.000 1.821 13.009
O -1.368 4.191 8.439
O -1.368 4.191 13.009
O 1.577 0.911 1.290
O 1.577 0.911 5.859
O 1.418 2.582 10.724
O 0.000 5.039 10.724
O 2.946 0.063 3.575
O 1.527 2.519 3.575
O 1.368 4.191 8.439
O 1.368 4.191 13.009
O 4.314 0.911 1.290
O 4.314 0.911 5.859
O 2.946 3.281 1.290
O 2.946 3.281 5.859
O 4.364 2.519 3.575

=====

22
Lattice="5.060 2.921 3.989 -5.060 2.921 3.989 0.000 -5.843 3.989" Properties=species:S:1:pos:R:3 comment="Ba3NaPdO6 (PBE-GGA, relaxed)" final_energy_ry_per_atom=-0.4138 volume_a3_per_atom=16.084 pbc="T T T"
Ba -3.242 0.227 4.987
Ba -1.818 -2.694 6.981
Ba 1.424 -2.921 4.987
Ba -1.424 2.921 6.981
Ba 1.818 2.694 4.987
Ba 3.242 -0.227 6.981
Na 0.000 0.000 2.992
Na 0.000 0.000 8.976
Pd 0.000 0.000 0.000
Pd 0.000 0.000 5.984
O -4.381 -1.422 6.771
O -0.959 -4.505 5.197
O -0.959 -1.338 4.776
O -3.422 3.083 5.197
O -0.679 1.500 4.776
O -1.639 0.162 7.192
O 1.639 -0.162 4.776
O 0.679 -1.500 7.192
O 3.422 -3.083 6.771
O 0.959 1.338 7.192
O 0.959 4.505 6.771
O 4.381 1.422 5.197

=====

66
Lattice="14.782 0.000 0.000 0.000 11.959 2.773 0.000 -11.959 2.773" Properties=species:S:1:pos:R:3 comment="Ba3NaSm3Si6O20 (PBE-GGA, relaxed)" magnetic_moment_mub_per_cell=0.01 final_energy_ry_per_atom=-0.5649 volume_a3_per_atom=14.856 pbc="T T T"
Ba 1.687 -6.137 2.773
Ba 3.695 -10.031 2.769
Ba 5.704 -6.137 2.773
Ba 9.077 6.137 2.773
Ba 11.086 10.031 2.769
Ba 13.095 6.137 2.773
Na 3.695 -2.667 3.156
Na 11.086 2.667 3.156
Sm 0.000 0.000 5.095
Sm 0.455 2.644 2.351
Sm 6.936 2.644 2.351
Sm 7.391 0.000 5.095
Sm 7.846 -2.644 2.351
Sm 14.327 -2.644 2.351
Si 0.844 8.334 2.565
Si 2.071 0.004 2.695
Si 3.695 4.312 2.588
Si 3.695 7.453 2.888
Si 5.320 0.004 2.695
Si 6.547 8.334 2.565
Si 8.234 -8.334 2.565
Si 9.462 -0.004 2.695
Si 11.086 -7.453 2.888
Si 11.086 -4.312 2.588
Si 12.711 -0.004 2.695
Si 13.938 -8.334 2.565
O 0.010 -4.155 4.045
O 0.486 -4.544 1.092
O 0.492 9.836 3.061
O 1.264 -1.307 3.203
O 1.605 0.620 1.261
O 1.753 1.180 3.809
O 2.397 3.711 1.799
O 2.444 8.220 2.140
O 3.695 -4.508 1.709
O 3.695 -0.366 2.665
O 3.695 5.956 2.169
O 3.695 4.225 4.202
O 4.947 8.220 2.140
O 4.994 3.711 1.799
O 5.638 1.180 3.809
O 5.786 0.620 1.261
O 6.127 -1.307 3.203
O 6.905 -4.544 1.092
O 6.899 9.836 3.061
O 7.381 -4.155 4.045
O 7.401 4.155 4.045
O 7.883 -9.836 3.061
O 7.877 4.544 1.092
O 8.655 1.307 3.203
O 8.996 -0.620 1.261
O 9.144 -1.180 3.809
O 9.787 -3.711 1.799
O 9.835 -8.220 2.140
O 11.086 -5.956 2.169
O 11.086 4.508 1.709
O 11.086 0.366 2.665
O 11.086 -4.225 4.202
O 12.337 -8.220 2.140
O 12.385 -3.711 1.799
O 13.028 -1.180 3.809
O 13.177 -0.620 1.261
O 13.517 1.307 3.203
O 14.289 -9.836 3.061
O 14.295 4.544 1.092
O 14.771 4.155 4.045

=====

3
Lattice="0.000 3.570 3.570 3.570 0.000 3.570 3.570 3.570 0.000" Properties=species:S:1:pos:R:3 comment="BaNaOs (PBE-GGA, relaxed)" magnetic_moment_mub_per_cell=1.00 final_energy_ry_per_atom=-0.2439 volume_a3_per_atom=30.324 e_above_lowest_polymorph_mev_per_atom=362 pbc="T T T"
Ba 0.000 0.000 0.000
Na 5.354 5.354 5.354
Os 1.785 1.785 1.785

=====

3
Lattice="0.000 3.587 3.587 3.587 0.000 3.587 3.587 3.587 0.000" Properties=species:S:1:pos:R:3 comment="BaNaOs (PBE-GGA, relaxed)" magnetic_moment_mub_per_cell=1.00 final_energy_ry_per_atom=-0.2706 volume_a3_per_atom=30.756 e_above_lowest_polymorph_mev_per_atom=0 pbc="T T T"
Ba 0.000 0.000 0.000
Na 3.587 3.587 3.587
Os 1.793 1.793 1.793

=====

4
Lattice="0.000 3.436 3.436 3.436 0.000 3.436 3.436 3.436 0.000" Properties=species:S:1:pos:R:3 comment="BaNaReOs (PBE-GGA, relaxed)" magnetic_moment_mub_per_cell=0.39 final_energy_ry_per_atom=-0.3952 volume_a3_per_atom=20.284 e_above_lowest_polymorph_mev_per_atom=0 pbc="T T T"
Ba 0.000 0.000 0.000
Na 5.154 5.154 5.154
Re 1.718 1.718 1.718
Os 3.436 3.436 3.436

=====

4
Lattice="0.000 3.532 3.532 3.532 0.000 3.532 3.532 3.532 0.000" Properties=species:S:1:pos:R:3 comment="BaNaReOs (PBE-GGA, relaxed)" magnetic_moment_mub_per_cell=2.95 final_energy_ry_per_atom=-0.3488 volume_a3_per_atom=22.022 e_above_lowest_polymorph_mev_per_atom=630 pbc="T T T"
Ba 0.000 0.000 0.000
Na 3.532 3.532 3.532
Re 5.297 5.297 5.297
Os 1.766 1.766 1.766

=====

4
Lattice="0.000 3.464 3.464 3.464 0.000 3.464 3.464 3.464 0.000" Properties=species:S:1:pos:R:3 comment="BaNaReOs (PBE-GGA, relaxed)" magnetic_moment_mub_per_cell=0.90 final_energy_ry_per_atom=-0.3903 volume_a3_per_atom=20.791 e_above_lowest_polymorph_mev_per_atom=66 pbc="T T T"
Ba 0.000 0.000 0.000
Na 1.732 1.732 1.732
Re 3.464 3.464 3.464
Os 5.197 5.197 5.197

=====

10
Lattice="0.000 4.930 4.930 4.930 0.000 4.930 4.930 4.930 0.000" Properties=species:S:1:pos:R:3 comment="Ba2NaOsS6 (PBE-GGA, relaxed)" magnetic_moment_mub_per_cell=1.10 final_energy_ry_per_atom=-0.3635 volume_a3_per_atom=23.964 e_above_lowest_polymorph_mev_per_atom=31 pbc="T T T"
Ba 2.465 2.465 2.465
Ba 7.395 7.395 7.395
Na 0.000 0.000 0.000
Os 4.930 4.930 4.930
S 4.930 4.930 2.589
S 4.930 2.589 4.930
S 7.271 4.930 4.930
S 2.589 4.930 4.930
S 4.930 7.271 4.930
S 4.930 4.930 7.271

=====

10
Lattice="6.170 0.000 0.000 3.014 6.219 0.000 3.040 1.622 6.240" Properties=species:S:1:pos:R:3 comment="Ba2NaOsS6 (PBE-GGA, relaxed)" magnetic_moment_mub_per_cell=1.16 final_energy_ry_per_atom=-0.3658 volume_a3_per_atom=23.945 e_above_lowest_polymorph_mev_per_atom=0 pbc="T T T"
Ba 3.053 2.043 1.477
Ba 9.172 5.798 4.763
Na 0.000 0.000 0.000
Os 6.112 3.920 3.120
S 4.472 5.256 2.042
S 6.091 5.362 5.009
S 4.570 2.523 4.215
S 7.655 5.317 2.025
S 6.134 2.479 1.231
S 7.753 2.584 4.198

=====

10
Lattice="6.054 -3.458 0.000 6.054 3.458 0.000 -4.097 0.000 5.733" Properties=species:S:1:pos:R:3 comment="Ba2NaOsS6 (PBE-GGA, relaxed)" magnetic_moment_mub_per_cell=1.01 final_energy_ry_per_atom=-0.3636 volume_a3_per_atom=23.998 e_above_lowest_polymorph_mev_per_atom=30 pbc="T T T"
Ba 2.001 0.000 1.430
Ba 6.009 0.000 4.303
Na 6.054 0.000 0.000
Os -2.049 0.000 2.866
S 2.923 1.810 4.136
S -0.268 0.000 4.390
S 5.087 1.810 1.597
S 2.923 -1.810 4.136
S 8.278 0.000 1.342
S 5.087 -1.810 1.597